1.
This record from Alexandria describes crystalline CdRh at its relaxed geometry. The functional is PBE.

Computed properties:
- Formation energy: 0.07 kcal/mol of atoms

a = 4.8252 Å, b = 2.9161 Å, c = 5.2618 Å
α = 90.00°, β = 112.02°, γ = 90.00°
Fractional coordinates of all 4 atoms:
Cd  0.0328  0.2500  0.2626
Cd  0.9672  0.7500  0.7374
Rh  0.4914  0.2500  0.7820
Rh  0.5086  0.7500  0.2180

=====

2.
This record from Alexandria describes crystalline LiMgAs4 at its relaxed geometry. The functional is PBE.

Computed properties:
- Formation energy: 0.49 kcal/mol of atoms

a = 5.6030 Å, b = 5.6030 Å, c = 5.6030 Å
α = 60.00°, β = 60.00°, γ = 60.00°
Fractional coordinates of all 6 atoms:
Li  0.0000  0.0000  0.0000
Mg  0.7500  0.7500  0.7500
As  0.3754  0.3754  0.3754
As  0.3754  0.3754  0.8739
As  0.3754  0.8739  0.3754
As  0.8739  0.3754  0.3754

=====

3.
This record from Alexandria describes crystalline Zn2Cd2SnO6 at its relaxed geometry. The functional is PBE.

Computed properties:
- Raw formation energy: -1.214 eV per atom

a = 5.4100 Å, b = 5.4100 Å, c = 5.4916 Å
α = 90.00°, β = 90.00°, γ = 120.00°
Fractional coordinates of all 11 atoms:
Zn  0.3333  0.6667  0.0000
Zn  0.6667  0.3333  0.0000
Cd  0.3333  0.6667  0.5000
Cd  0.6667  0.3333  0.5000
Sn  0.0000  0.0000  0.0000
O  0.0000  0.3312  0.2118
O  0.0000  0.6688  0.7882
O  0.3312  0.0000  0.2118
O  0.3312  0.3312  0.7882
O  0.6688  0.0000  0.7882
O  0.6688  0.6688  0.2118

=====

4.
This record from Alexandria describes crystalline CsBaP at its relaxed geometry. The functional is PBE.

Computed properties:
- Formation energy: -6.54 kcal/mol of atoms

a = 8.4470 Å, b = 7.6696 Å, c = 7.5809 Å
α = 90.00°, β = 90.00°, γ = 90.00°
Fractional coordinates of all 12 atoms:
Cs  0.0108  0.2500  0.0715
Cs  0.4892  0.7500  0.5715
Cs  0.5108  0.2500  0.4285
Cs  0.9892  0.7500  0.9285
Ba  0.0000  0.0000  0.5000
Ba  0.0000  0.5000  0.5000
Ba  0.5000  0.0000  0.0000
Ba  0.5000  0.5000  0.0000
P  0.2483  0.7500  0.2437
P  0.2517  0.2500  0.7437
P  0.7483  0.7500  0.2563
P  0.7517  0.2500  0.7563

=====

5.
This record from Alexandria describes crystalline TaRe2Tc at its relaxed geometry. The functional is PBE.

Computed properties:
- Formation energy: -0.13 kcal/mol of atoms

a = 2.7586 Å, b = 4.4134 Å, c = 5.2359 Å
α = 90.00°, β = 101.05°, γ = 90.00°
Fractional coordinates of all 4 atoms:
Ta  0.0000  0.0000  0.0000
Re  0.2204  0.5000  0.7395
Re  0.4891  0.0000  0.5015
Tc  0.7876  0.5000  0.2411

=====

6.
This record from Alexandria describes crystalline Li2Cd2Ag2Bi at its relaxed geometry. The functional is PBE.

Computed properties:
- Formation energy: -4.60 kcal/mol of atoms

a = 5.2668 Å, b = 5.2668 Å, c = 6.8447 Å
α = 96.67°, β = 96.67°, γ = 49.33°
Fractional coordinates of all 7 atoms:
Li  0.2076  0.2076  0.1611
Li  0.7924  0.7924  0.8389
Cd  0.0819  0.0819  0.6991
Cd  0.9181  0.9181  0.3009
Ag  0.3539  0.3539  0.5629
Ag  0.6461  0.6461  0.4371
Bi  0.5000  0.5000  0.0000

=====

| no. | V (A^3/atom) |
| --- | --- |
| 1 | 17.16 |
| 2 | 20.73 |
| 3 | 12.65 |
| 4 | 40.93 |
| 5 | 15.64 |
| 6 | 20.40 |